(1)
VASP calculation (PBE) on a relaxed structure of ScPd6Au8.

Lattice parameters (Å, degrees): 5.561 7.663 7.663 120.00 90.00 90.00
Atoms (fractional coordinates):
Pd: 0.368 0.318 0.966
Au: 0.127 0.333 0.311
Au: 0.368 0.667 0.333
Au: 0.873 0.311 0.978
Sc: 0.500 0.000 0.000
Pd: 0.632 0.352 0.318
Au: 0.873 0.667 0.689
Pd: 0.632 0.966 0.648
Pd: 0.368 0.648 0.682
Pd: 0.368 0.034 0.352
Pd: 0.632 0.682 0.034
Au: 0.127 0.689 0.022
Au: 0.873 0.022 0.333
Au: 0.632 0.333 0.667
Au: 0.127 0.978 0.667

---

(2)
VASP calculation (PBE) on a relaxed structure of Sc3Pd2Au3.

Lattice parameters (Å, degrees): 3.301 7.237 7.237 120.00 90.00 90.00
Atoms (fractional coordinates):
Pd: 0.000 0.333 0.667
Sc: 0.500 0.401 0.401
Au: 0.000 0.233 0.000
Au: 0.000 0.000 0.233
Sc: 0.500 0.000 0.599
Pd: 0.000 0.667 0.333
Au: 0.000 0.767 0.767
Sc: 0.500 0.599 0.000

---

Number 1: E_form -0.14 eV/atom, magnetic moment 0.000 μB/cell. Number 2: E_form -0.81 eV/atom, magnetic moment 0.000 μB/cell.